Entry 1:
Entry from Alexandria: a relaxed structure of VCo2Os (PBE-GGA).

Unit cell a=8.9015 b=8.9015 c=8.9015 alpha=157.17 beta=157.17 gamma=32.51
Element x y z (fractional)
V: 0.0000 0.0000 0.0000
V: 0.7500 0.2500 0.5000
Co: 0.1198 0.6250 0.9948
Co: 0.3750 0.3698 0.4948
Co: 0.6302 0.1250 0.0052
Co: 0.8750 0.8802 0.5052
Os: 0.2500 0.7500 0.5000
Os: 0.5000 0.5000 0.0000

Summary:
The formation energy comes out at 0.49 eV/atom. The space group is I-42d, No. 122. Its total magnetization is 3.0 μB per cell.

---

Entry 2:
Entry from Alexandria: a relaxed structure of Tl3AgBr5 (PBE-GGA).

Unit cell a=10.0532 b=10.0532 c=10.0532 alpha=129.28 beta=129.28 gamma=74.57
Element x y z (fractional)
Tl: 0.1618 0.6618 0.8236
Tl: 0.2500 0.2500 0.0000
Tl: 0.3382 0.1618 0.5000
Tl: 0.6618 0.8382 0.5000
Tl: 0.7500 0.7500 0.0000
Tl: 0.8382 0.3382 0.1764
Ag: 0.2500 0.7500 0.5000
Ag: 0.7500 0.2500 0.5000
Br: 0.0000 0.0000 0.0000
Br: 0.0212 0.1961 0.5000
Br: 0.1961 0.6961 0.1749
Br: 0.3039 0.4788 0.5000
Br: 0.4788 0.9788 0.1749
Br: 0.5000 0.5000 0.0000
Br: 0.5212 0.0212 0.8251
Br: 0.6961 0.5212 0.5000
Br: 0.8039 0.3039 0.8251
Br: 0.9788 0.8039 0.5000

Summary:
The space group is I4/mcm, No. 140. As for the energy relative to the elements, uncorrected: -0.60 eV/atom. Its total magnetization is 0.0 μB per cell.

---

Entry 3:
Entry from Alexandria: a relaxed structure of BaAsN (PBE-GGA).

Unit cell a=4.5118 b=4.5506 c=8.6429 alpha=74.96 beta=85.58 gamma=89.99
Element x y z (fractional)
Ba: 0.0326 0.3625 0.2714
Ba: 0.9674 0.6375 0.7286
As: 0.4896 0.2118 0.5774
As: 0.5104 0.7882 0.4226
N: 0.4051 0.5227 0.9553
N: 0.5949 0.4773 0.0447

Summary:
The space group is P-1, No. 2. As for the energy relative to the elements, uncorrected: -0.65 eV/atom. Its total magnetization is 0.0 μB per cell.

---

Entry 4:
Entry from Alexandria: a relaxed structure of Sr5AcPb6 (PBE-GGA).

Unit cell a=9.7831 b=9.7831 c=6.0990 alpha=96.15 beta=96.15 gamma=45.98
Element x y z (fractional)
Sr: 0.0000 0.0000 0.0000
Sr: 0.1665 0.1665 0.6709
Sr: 0.3291 0.3291 0.3304
Sr: 0.6709 0.6709 0.6696
Sr: 0.8335 0.8335 0.3291
Ac: 0.5000 0.5000 0.0000
Pb: 0.0860 0.5836 0.8300
Pb: 0.2523 0.7477 0.5000
Pb: 0.4164 0.9140 0.1700
Pb: 0.5836 0.0860 0.8300
Pb: 0.7477 0.2523 0.5000
Pb: 0.9140 0.4164 0.1700

Summary:
The formation energy comes out at -0.52 eV/atom. The space group is C2/m, No. 12. Its total magnetization is 0.0 μB per cell.

---

Entry 5:
Entry from Alexandria: a relaxed structure of LiPtW4 (PBE-GGA).

Unit cell a=5.2485 b=5.2485 c=5.2485 alpha=60.00 beta=60.00 gamma=60.00
Element x y z (fractional)
Li: 0.0000 0.0000 0.0000
Pt: 0.2500 0.2500 0.2500
W: 0.1195 0.6268 0.6268
W: 0.6268 0.1195 0.6268
W: 0.6268 0.6268 0.1195
W: 0.6268 0.6268 0.6268

Summary:
The formation energy comes out at 0.51 eV/atom. The space group is F-43m, No. 216. Its total magnetization is 0.0 μB per cell.

---

Entry 6:
Entry from Alexandria: a relaxed structure of Tb2SmPuBi4 (PBE-GGA).

Unit cell a=7.8299 b=4.5245 c=7.8326 alpha=90.00 beta=109.43 gamma=90.00
Element x y z (fractional)
Tb: 0.0000 0.0000 0.0000
Tb: 0.0000 0.5000 0.5000
Sm: 0.5000 0.0000 0.5000
Pu: 0.5000 0.5000 0.0000
Bi: 0.2465 0.5000 0.2476
Bi: 0.2472 0.0000 0.7502
Bi: 0.7528 0.0000 0.2498
Bi: 0.7535 0.5000 0.7524

Summary:
The formation energy comes out at -0.75 eV/atom. The space group is P2/m, No. 10. Its total magnetization is 5.1 μB per cell.

---

Entry 7:
Entry from Alexandria: a relaxed structure of Cs2Tl2Pd (PBE-GGA).

Unit cell a=7.5945 b=7.5945 c=6.5003 alpha=90.00 beta=90.00 gamma=90.00
Element x y z (fractional)
Cs: 0.1859 0.3141 0.0000
Cs: 0.3141 0.8141 0.0000
Cs: 0.6859 0.1859 0.0000
Cs: 0.8141 0.6859 0.0000
Tl: 0.1498 0.6498 0.5000
Tl: 0.3502 0.1498 0.5000
Tl: 0.6498 0.8502 0.5000
Tl: 0.8502 0.3502 0.5000
Pd: 0.0000 0.0000 0.5000
Pd: 0.5000 0.5000 0.5000

Summary:
The formation energy comes out at 0.02 eV/atom. The space group is P4/mbm, No. 127. Its total magnetization is 0.0 μB per cell.

---

Entry 8:
Entry from Alexandria: a relaxed structure of Ac2Nd5Y3 (PBE-GGA).

Unit cell a=9.1350 b=9.1350 c=10.6001 alpha=107.57 beta=107.57 gamma=104.51
Element x y z (fractional)
Ac: 0.0419 0.2890 0.0550
Ac: 0.2890 0.0419 0.5550
Ac: 0.7110 0.9581 0.4450
Ac: 0.9581 0.7110 0.9450
Nd: 0.0233 0.9767 0.7500
Nd: 0.0944 0.3529 0.7006
Nd: 0.2413 0.7587 0.7500
Nd: 0.3529 0.0944 0.2006
Nd: 0.4971 0.5029 0.2500
Nd: 0.5029 0.4971 0.7500
Nd: 0.6471 0.9056 0.7994
Nd: 0.7587 0.2413 0.2500
Nd: 0.9056 0.6471 0.2994
Nd: 0.9767 0.0233 0.2500
Y: 0.2190 0.4688 0.4341
Y: 0.2686 0.7314 0.2500
Y: 0.4688 0.2190 0.9341
Y: 0.5312 0.7810 0.0659
Y: 0.7314 0.2686 0.7500
Y: 0.7810 0.5312 0.5659

Summary:
The formation energy comes out at 0.20 eV/atom. The space group is C2/c, No. 15. Its total magnetization is 0.0 μB per cell.

---

Entry 9:
Entry from Alexandria: a relaxed structure of La6Y5Th2 (PBE-GGA).

Unit cell a=11.3058 b=22.7833 c=3.5948 alpha=90.00 beta=90.00 gamma=90.00
Element x y z (fractional)
La: 0.0089 0.1076 0.0000
La: 0.1556 0.3817 0.0000
La: 0.1558 0.6353 0.5000
La: 0.3442 0.1353 0.5000
La: 0.3444 0.8817 0.0000
La: 0.4911 0.6076 0.0000
La: 0.5089 0.3924 0.0000
La: 0.6556 0.1183 0.0000
La: 0.6558 0.8647 0.5000
La: 0.8442 0.3647 0.5000
La: 0.8444 0.6183 0.0000
La: 0.9911 0.8924 0.0000
Y: 0.0000 0.5000 0.5000
Y: 0.1022 0.2410 0.5000
Y: 0.1755 0.9991 0.5000
Y: 0.3245 0.4991 0.5000
Y: 0.3978 0.7410 0.5000
Y: 0.5000 0.0000 0.5000
Y: 0.6022 0.2590 0.5000
Y: 0.6755 0.5009 0.5000
Y: 0.8245 0.0009 0.5000
Y: 0.8978 0.7590 0.5000
Th: 0.1509 0.7698 0.0000
Th: 0.3491 0.2698 0.0000
Th: 0.6509 0.7302 0.0000
Th: 0.8491 0.2302 0.0000

Summary:
The formation energy comes out at 0.18 eV/atom. The space group is Pbam, No. 55. Its total magnetization is 0.0 μB per cell.

---

Entry 10:
Entry from Alexandria: a relaxed structure of TcPbBr2 (PBE-GGA).

Unit cell a=4.2411 b=3.9050 c=7.8235 alpha=90.00 beta=105.63 gamma=90.00
Element x y z (fractional)
Tc: 0.0000 0.0000 0.0000
Pb: 0.5345 0.5000 0.0695
Br: 0.1673 0.0000 0.3360
Br: 0.8707 0.5000 0.7406

Summary:
The space group is Pm, No. 6. As for the energy relative to the elements, uncorrected: 0.10 eV/atom. Its total magnetization is 3.0 μB per cell.

---

Entry 11:
Entry from Alexandria: a relaxed structure of LiTeI4 (PBE-GGA).

Unit cell a=7.3620 b=4.6766 c=16.2629 alpha=90.00 beta=115.55 gamma=90.00
Element x y z (fractional)
Li: 0.0000 0.0000 0.0000
Li: 0.0000 0.5000 0.5000
Te: 0.5000 0.0000 0.5000
Te: 0.5000 0.5000 0.0000
I: 0.0586 0.0116 0.3875
I: 0.0586 0.4884 0.8875
I: 0.4419 0.5832 0.6204
I: 0.4419 0.9168 0.1204
I: 0.5581 0.0832 0.8796
I: 0.5581 0.4168 0.3796
I: 0.9414 0.5116 0.1125
I: 0.9414 0.9884 0.6125

Summary:
The space group is P2_1/c, No. 14. As for the energy relative to the elements, uncorrected: -0.43 eV/atom. Its total magnetization is 0.0 μB per cell.

---

Entry 12:
Entry from Alexandria: a relaxed structure of La8Sm2Er (PBE-GGA).

Unit cell a=9.7515 b=9.7515 c=8.2560 alpha=104.59 beta=104.59 gamma=31.15
Element x y z (fractional)
La: 0.0464 0.0464 0.2279
La: 0.1364 0.1364 0.6826
La: 0.3191 0.3191 0.5880
La: 0.4093 0.4093 0.0478
La: 0.5907 0.5907 0.9522
La: 0.6809 0.6809 0.4120
La: 0.8636 0.8636 0.3174
La: 0.9536 0.9536 0.7721
Sm: 0.2264 0.2264 0.1354
Sm: 0.7736 0.7736 0.8646
Er: 0.5000 0.5000 0.5000

Summary:
The formation energy comes out at 0.02 eV/atom. The space group is C2/m, No. 12. Its total magnetization is 0.0 μB per cell.